! Ce2TaP4Ir3, optimized geometry, DFT PBE-GGA; values from VASP
&SYSTEM
  ibrav = 0, nat = 10, ntyp = 4
/
ATOMIC_SPECIES
Ir 192.22 Ir.upf
P 30.97 P.upf
Ta 180.95 Ta.upf
Ce 140.12 Ce.upf
CELL_PARAMETERS angstrom
-1.033 -1.303 -3.895
3.321 -2.628 -0.001
-5.502 -6.953 3.783
ATOMIC_POSITIONS crystal
Ir 0.500 0.000 0.891
P 0.500 0.000 0.640
Ta 0.500 0.500 0.500
P 0.500 0.500 0.000
Ir 0.000 0.000 0.500
P 0.000 0.000 0.000
Ce 0.000 0.500 0.765
Ce 0.500 0.000 0.235
Ir 0.000 0.500 0.109
P 0.000 0.500 0.360
! ΔH_f (0 K) = -9.8 eV per formula unit
! space group = P-4m2, No. 115
! V = 172.91 Å³/cell
! total magnetization = 1.42 μB per cell

---

! CeTc2P2Ir, optimized geometry, DFT PBE-GGA; values from VASP
&SYSTEM
  ibrav = 0, nat = 12, ntyp = 4
/
ATOMIC_SPECIES
Ce 140.12 Ce.upf
Tc 98.00 Tc.upf
P 30.97 P.upf
Ir 192.22 Ir.upf
CELL_PARAMETERS angstrom
4.045 0.000 0.000
0.000 6.691 0.000
0.000 0.000 7.110
ATOMIC_POSITIONS crystal
Ce 0.000 0.977 0.406
Tc 0.000 0.362 0.180
P 0.000 0.692 0.096
Tc 0.500 0.065 0.076
Ir 0.500 0.166 0.700
Ce 0.000 0.477 0.594
Tc 0.000 0.862 0.820
P 0.500 0.784 0.653
Ir 0.500 0.666 0.300
P 0.500 0.284 0.347
Tc 0.500 0.565 0.924
P 0.000 0.192 0.904
! ΔH_f (0 K) = -4.2 eV per formula unit
! space group = Pmc2_1, No. 26
! V = 192.40 Å³/cell
! total magnetization = 0.00 μB per cell

---

! Ce2TcP4Ir3, optimized geometry, DFT PBE-GGA; values from VASP
&SYSTEM
  ibrav = 0, nat = 10, ntyp = 4
/
ATOMIC_SPECIES
P 30.97 P.upf
Ir 192.22 Ir.upf
Ce 140.12 Ce.upf
Tc 98.00 Tc.upf
CELL_PARAMETERS angstrom
-3.690 2.024 -0.201
-1.282 -2.638 -3.024
-3.519 -5.765 6.522
ATOMIC_POSITIONS crystal
P 0.500 0.500 0.000
Ir 0.000 0.500 0.114
P 0.000 0.000 0.000
Ir 0.000 0.000 0.500
Ir 0.500 0.000 0.886
P 0.500 0.000 0.630
P 0.000 0.500 0.370
Ce 0.000 0.500 0.758
Ce 0.500 0.000 0.242
Tc 0.500 0.500 0.500
! ΔH_f (0 K) = -10.5 eV per formula unit
! space group = P-4m2, No. 115
! V = 166.68 Å³/cell
! total magnetization = 0.08 μB per cell

---

! CeTcP2Ir, optimized geometry, DFT PBE-GGA; values from VASP
&SYSTEM
  ibrav = 0, nat = 5, ntyp = 4
/
ATOMIC_SPECIES
Ce 140.12 Ce.upf
P 30.97 P.upf
Tc 98.00 Tc.upf
Ir 192.22 Ir.upf
CELL_PARAMETERS angstrom
4.098 0.000 0.000
0.000 4.098 0.000
-2.049 -2.049 4.938
ATOMIC_POSITIONS crystal
Ce 0.000 0.000 0.000
P 0.626 0.626 0.252
P 0.374 0.374 0.748
Tc 0.250 0.750 0.500
Ir 0.750 0.250 0.500
! ΔH_f (0 K) = -4.8 eV per formula unit
! space group = I-4m2, No. 119
! V = 82.94 Å³/cell
! total magnetization = 0.39 μB per cell

---

! Ce2TcP3Ir4, optimized geometry, DFT PBE-GGA; values from VASP
&SYSTEM
  ibrav = 0, nat = 10, ntyp = 4
/
ATOMIC_SPECIES
Ir 192.22 Ir.upf
P 30.97 P.upf
Ce 140.12 Ce.upf
Tc 98.00 Tc.upf
CELL_PARAMETERS angstrom
-1.330 -0.704 3.808
1.591 -3.770 -0.142
8.791 3.569 3.730
ATOMIC_POSITIONS crystal
Ir 0.000 0.500 0.364
P 0.000 0.000 0.500
Ce 0.000 0.500 0.757
Tc 0.500 0.500 0.500
Ir 0.500 0.000 0.636
Ir 0.000 0.000 0.000
Ir 0.500 0.500 0.000
P 0.500 0.000 0.865
Ce 0.500 0.000 0.243
P 0.000 0.500 0.135
! ΔH_f (0 K) = -7.9 eV per formula unit
! space group = P-4m2, No. 115
! V = 170.89 Å³/cell
! total magnetization = 1.42 μB per cell

---

! Ce2TiP3Ir4, optimized geometry, DFT PBE-GGA; values from VASP
&SYSTEM
  ibrav = 0, nat = 10, ntyp = 4
/
ATOMIC_SPECIES
Ir 192.22 Ir.upf
P 30.97 P.upf
Ce 140.12 Ce.upf
Ti 47.87 Ti.upf
CELL_PARAMETERS angstrom
4.042 0.000 0.000
0.000 4.042 0.000
0.000 0.000 10.383
ATOMIC_POSITIONS crystal
Ir 0.500 0.000 0.640
P 0.000 0.500 0.134
Ce 0.000 0.500 0.758
Ir 0.000 0.500 0.360
Ir 0.500 0.500 0.000
P 0.500 0.000 0.866
Ce 0.500 0.000 0.242
Ir 0.000 0.000 0.000
P 0.000 0.000 0.500
Ti 0.500 0.500 0.500
! ΔH_f (0 K) = -10.1 eV per formula unit
! space group = P-4m2, No. 115
! V = 169.65 Å³/cell
! total magnetization = 0.00 μB per cell

---

! CeTiP2Ir4, optimized geometry, DFT PBE-GGA; values from VASP
&SYSTEM
  ibrav = 0, nat = 8, ntyp = 4
/
ATOMIC_SPECIES
Ir 192.22 Ir.upf
P 30.97 P.upf
Ce 140.12 Ce.upf
Ti 47.87 Ti.upf
CELL_PARAMETERS angstrom
-2.962 -2.038 2.008
2.823 -1.611 2.530
-0.888 6.086 4.867
ATOMIC_POSITIONS crystal
Ir 0.500 0.000 0.801
P 0.500 0.500 0.346
Ce 0.000 0.000 0.500
Ir 0.000 0.500 0.199
P 0.500 0.500 0.654
Ir 0.000 0.500 0.801
Ir 0.500 0.000 0.199
Ti 0.000 0.000 0.000
! ΔH_f (0 K) = -6.2 eV per formula unit
! space group = P4/mmm, No. 123
! V = 133.02 Å³/cell
! total magnetization = 0.71 μB per cell

---

! Ce2TiP4Ir3, optimized geometry, DFT PBE-GGA; values from VASP
&SYSTEM
  ibrav = 0, nat = 10, ntyp = 4
/
ATOMIC_SPECIES
Ce 140.12 Ce.upf
P 30.97 P.upf
Ir 192.22 Ir.upf
Ti 47.87 Ti.upf
CELL_PARAMETERS angstrom
4.210 0.000 0.000
0.000 4.210 0.000
0.000 0.000 9.657
ATOMIC_POSITIONS crystal
Ce 0.500 0.000 0.237
P 0.500 0.000 0.640
Ir 0.000 0.000 0.500
P 0.500 0.500 0.000
Ti 0.500 0.500 0.500
Ce 0.000 0.500 0.763
P 0.000 0.000 0.000
Ir 0.000 0.500 0.110
Ir 0.500 0.000 0.890
P 0.000 0.500 0.360
! ΔH_f (0 K) = -10.8 eV per formula unit
! space group = P-4m2, No. 115
! V = 171.14 Å³/cell
! total magnetization = 1.61 μB per cell

---

What is the total magnetization in the second record?
0.00 μB per cell